VASP calculation (GGA+U) on crystalline MgMn2O4 at its relaxed geometry.

```
MgMn2O4
1.0
-2.911 2.911 4.712
2.911 -2.911 4.712
2.911 2.911 -4.712
Mg Mn O
2 4 8
Cartesian
2.911 1.456 1.178 Mg
0.000 1.456 3.534 Mg
0.000 0.000 0.000 Mn
1.456 1.456 -2.356 Mn
1.456 -1.456 2.356 Mn
0.000 2.911 0.000 Mn
2.911 2.775 -2.397 O
2.911 -0.136 2.397 O
1.319 1.456 -0.041 O
1.592 -1.456 4.671 O
1.319 4.367 0.041 O
1.592 1.456 4.752 O
0.000 3.048 2.315 O
0.000 0.136 7.108 O
```

Summary:
SG = I4_1/amd
VASP energy = -99.760 eV/cell
relative energy among the computed polymorphs = 0.000 eV per atom


VASP calculation (GGA+U) on crystalline Mg5Mn3O12 at its relaxed geometry.

```
Mg5Mn3O12
1.0
-6.002 6.002 6.002
6.002 -6.002 6.002
6.002 6.002 -6.002
Mg Mn O
20 12 48
Cartesian
0.000 0.000 0.000 Mg
3.001 3.001 -3.001 Mg
3.001 -3.001 3.001 Mg
6.002 0.000 0.000 Mg
9.003 1.500 0.000 Mg
6.002 -3.001 4.501 Mg
4.501 6.002 -3.001 Mg
4.501 0.000 3.001 Mg
3.001 4.501 0.000 Mg
6.002 3.001 1.500 Mg
-3.001 3.001 3.001 Mg
0.000 6.002 0.000 Mg
0.000 0.000 6.002 Mg
3.001 3.001 3.001 Mg
0.000 3.001 4.501 Mg
3.001 1.500 6.002 Mg
1.500 6.002 3.001 Mg
1.500 0.000 9.003 Mg
0.000 9.003 1.500 Mg
-3.001 4.501 6.002 Mg
3.001 1.500 0.000 Mn
6.002 3.001 -1.500 Mn
1.500 0.000 3.001 Mn
7.502 0.000 3.001 Mn
0.000 3.001 1.500 Mn
3.001 -1.500 6.002 Mn
3.001 7.502 0.000 Mn
6.002 3.001 4.501 Mn
-1.500 6.002 3.001 Mn
4.501 6.002 3.001 Mn
0.000 3.001 7.502 Mn
3.001 4.501 6.002 Mn
1.767 -0.385 1.028 O
7.236 4.028 -3.385 O
5.617 -1.028 1.767 O
9.387 -1.234 1.973 O
1.028 1.767 -0.385 O
7.975 2.616 -1.234 O
7.768 0.385 1.028 O
7.236 -1.973 3.385 O
4.028 3.385 -1.234 O
4.974 1.767 0.385 O
-0.385 1.028 1.767 O
3.385 -1.234 4.028 O
5.617 4.974 -1.767 O
3.385 1.234 1.973 O
4.974 -1.767 5.617 O
4.028 -3.385 7.236 O
1.767 5.617 -1.028 O
7.236 1.973 2.616 O
1.973 3.385 1.234 O
7.029 4.235 0.385 O
3.385 7.236 -1.973 O
5.617 1.028 4.235 O
1.234 1.973 3.385 O
1.767 0.385 4.974 O
4.235 5.617 1.028 O
4.767 4.028 2.616 O
0.385 4.974 1.767 O
2.616 -1.234 7.975 O
-1.028 1.767 5.617 O
4.028 2.616 4.767 O
-1.234 4.028 3.385 O
4.235 0.385 7.029 O
1.973 9.387 -1.234 O
1.028 7.768 0.385 O
2.616 4.767 4.028 O
0.385 1.028 7.768 O
2.616 7.236 1.973 O
6.386 4.974 4.235 O
1.028 4.235 5.617 O
1.973 2.616 7.236 O
-1.234 7.975 2.616 O
-1.767 5.617 4.974 O
-1.973 3.385 7.236 O
4.974 4.235 6.386 O
-3.385 7.236 4.028 O
0.385 7.029 4.235 O
-1.234 1.973 9.387 O
4.235 6.386 4.974 O
```

Summary:
SG = Ia-3d
VASP energy = -481.735 eV/cell


VASP calculation (GGA+U) on crystalline Mg2MnO3 at its relaxed geometry.

```
Mg2MnO3
1.0
2.868 -4.976 0.000
2.868 4.976 0.000
-1.907 0.000 5.408
Mg Mn O
4 2 6
Cartesian
1.915 4.152 2.704 Mg
2.864 2.508 0.001 Mg
1.911 -2.508 2.704 Mg
2.868 -4.152 0.000 Mg
1.910 0.850 2.690 Mn
0.956 -0.850 5.394 Mn
-0.063 0.823 2.000 O
-1.016 -0.823 4.704 O
2.904 2.560 2.004 O
1.940 0.893 4.780 O
2.893 -0.893 2.076 O
1.950 -2.560 4.708 O
```

Summary:
SG = Cc
VASP energy = -78.288 eV/cell